*a*
Density functional theory data (GGA-PBE) for a relaxed NbReBi3 crystal.

```
NbReBi3
1.0
5.461 0.000 0.000
0.000 5.461 0.000
0.000 0.000 5.461
Nb Re Bi
1 1 3
Direct
0.000 0.000 0.000
0.500 0.500 0.500
0.000 0.000 0.500
0.000 0.500 0.000
0.500 0.000 0.000
```

* SG: No. 221
* N(E_F): 4.78 states/eV per cell
* V: 163 Å³/f.u.

---

*b*
Density functional theory data (GGA-PBE) for a relaxed NbReBi3 crystal.

```
NbReBi3
1.0
5.329 0.000 0.000
0.000 5.329 0.000
0.000 0.000 5.329
Nb Re Bi
1 1 3
Direct
0.000 0.000 0.000
0.500 0.500 0.500
0.000 0.500 0.500
0.500 0.000 0.500
0.500 0.500 0.000
```

* SG: No. 221
* N(E_F): 4.46 states/eV per cell
* V: 151 Å³/f.u.

---

On energetic grounds, *b* is preferred over the next structure by 180 meV/atom.

---

*a*
Density functional theory data (GGA-PBE) for a relaxed NbBi3Rh crystal.

```
NbBi3Rh
1.0
5.233 0.000 0.000
0.000 5.233 0.000
0.000 0.000 5.233
Nb Bi Rh
1 3 1
Direct
0.000 0.000 0.000
0.000 0.500 0.500
0.500 0.000 0.500
0.500 0.500 0.000
0.500 0.500 0.500
```

* SG: No. 221
* N(E_F): 9.77 states/eV per cell
* V: 143 Å³/f.u.

---

*b*
Density functional theory data (GGA-PBE) for a relaxed NbBi3Rh crystal.

```
NbBi3Rh
1.0
5.420 0.000 0.000
0.000 5.420 0.000
0.000 0.000 5.420
Nb Bi Rh
1 3 1
Direct
0.000 0.000 0.000
0.000 0.000 0.500
0.000 0.500 0.000
0.500 0.000 0.000
0.500 0.500 0.500
```

* SG: No. 221
* N(E_F): 4.71 states/eV per cell
* V: 159 Å³/f.u.

---

On energetic grounds, *a* is preferred over the next structure by 57 meV/atom.

---

*a*
Density functional theory data (GGA-PBE) for a relaxed NbBiRu3 crystal.

```
NbBiRu3
1.0
4.758 0.000 0.000
0.000 4.758 0.000
0.000 0.000 4.758
Nb Bi Ru
1 1 3
Direct
0.000 0.000 0.000
0.500 0.500 0.500
0.000 0.000 0.500
0.000 0.500 0.000
0.500 0.000 0.000
```

* SG: No. 221
* N(E_F): 8.72 states/eV per cell
* V: 108 Å³/f.u.

---

*b*
Density functional theory data (GGA-PBE) for a relaxed NbBiRu3 crystal.

```
NbBiRu3
1.0
4.826 0.000 0.000
0.000 4.826 0.000
0.000 0.000 4.826
Nb Bi Ru
1 1 3
Direct
0.000 0.000 0.000
0.500 0.500 0.500
0.000 0.500 0.500
0.500 0.000 0.500
0.500 0.500 0.000
```

* SG: No. 221
* N(E_F): 13.46 states/eV per cell
* V: 112 Å³/f.u.

---

On energetic grounds, *a* is preferred over the next structure by 812 meV/atom.

---

*a*
Density functional theory data (GGA-PBE) for a relaxed NbBiRu2 crystal.

```
NbBiRu2
1.0
3.218 0.000 0.000
0.000 3.218 0.000
0.000 0.000 7.074
Nb Bi Ru
1 1 2
Direct
0.000 0.000 0.000
0.000 0.000 0.500
0.500 0.500 0.208
0.500 0.500 0.792
```

* SG: No. 123
* N(E_F): 2.84 states/eV per cell
* V: 73 Å³/f.u.

---

*b*
Density functional theory data (GGA-PBE) for a relaxed NbBiRu2 crystal.

```
NbBiRu2
1.0
0.000 3.273 3.273
3.273 0.000 3.273
3.273 3.273 0.000
Nb Bi Ru
1 1 2
Direct
0.000 0.000 0.000
0.500 0.500 0.500
0.250 0.250 0.250
0.750 0.750 0.750
```

* SG: No. 225
* N(E_F): 3.73 states/eV per cell
* V: 70 Å³/f.u.

---

On energetic grounds, *a* is preferred over the next structure by 195 meV/atom.

---

*a*
Density functional theory data (GGA-PBE) for a relaxed NbBi3Ru crystal.

```
NbBi3Ru
1.0
5.443 0.000 0.000
0.000 5.443 0.000
0.000 0.000 5.443
Nb Bi Ru
1 3 1
Direct
0.000 0.000 0.000
0.000 0.000 0.500
0.000 0.500 0.000
0.500 0.000 0.000
0.500 0.500 0.500
```

* SG: No. 221
* N(E_F): 2.34 states/eV per cell
* V: 161 Å³/f.u.

---

*b*
Density functional theory data (GGA-PBE) for a relaxed NbBi3Ru crystal.

```
NbBi3Ru
1.0
5.222 0.000 0.000
0.000 5.222 0.000
0.000 0.000 5.222
Nb Bi Ru
1 3 1
Direct
0.000 0.000 0.000
0.000 0.500 0.500
0.500 0.000 0.500
0.500 0.500 0.000
0.500 0.500 0.500
```

* SG: No. 221
* N(E_F): 5.25 states/eV per cell
* V: 142 Å³/f.u.

---

On energetic grounds, *b* is preferred over the next structure by 116 meV/atom.

---

*a*
Density functional theory data (GGA-PBE) for a relaxed NbBi2S2 crystal.

```
NbBi2S2
1.0
7.785 0.000 0.000
0.000 7.785 0.000
0.000 0.000 4.286
Nb Bi S
2 4 4
Direct
0.000 0.000 0.000
0.500 0.500 0.000
0.152 0.348 0.000
0.348 0.848 0.000
0.652 0.152 0.000
0.848 0.652 0.000
0.199 0.699 0.500
0.301 0.199 0.500
0.699 0.801 0.500
0.801 0.301 0.500
```

* SG: No. 127
* N(E_F): 9.23 states/eV per cell
* V: 130 Å³/f.u.

---

*b*
Density functional theory data (GGA-PBE) for a relaxed NbBi2S2 crystal.

```
NbBi2S2
1.0
-2.770 2.770 4.440
2.770 -2.770 4.440
2.770 2.770 -4.440
Nb Bi S
1 2 2
Direct
0.000 0.000 0.000
0.325 0.325 0.000
0.675 0.675 0.000
0.250 0.750 0.500
0.750 0.250 0.500
```

* SG: No. 139
* N(E_F): 9.43 states/eV per cell
* V: 136 Å³/f.u.

---

On energetic grounds, *a* is preferred over the next structure by 343 meV/atom.

---

*a*
Density functional theory data (GGA-PBE) for a relaxed NbBi3S crystal.

```
NbBi3S
1.0
5.427 0.000 0.000
0.000 5.427 0.000
0.000 0.000 5.427
Nb Bi S
1 3 1
Direct
0.000 0.000 0.000
0.000 0.000 0.500
0.000 0.500 0.000
0.500 0.000 0.000
0.500 0.500 0.500
```

* SG: No. 221
* N(E_F): 0.62 states/eV per cell
* V: 160 Å³/f.u.

---

*b*
Density functional theory data (GGA-PBE) for a relaxed NbBi3S crystal.

```
NbBi3S
1.0
5.310 0.000 0.000
0.000 5.310 0.000
0.000 0.000 5.310
Nb Bi S
1 3 1
Direct
0.000 0.000 0.000
0.000 0.500 0.500
0.500 0.000 0.500
0.500 0.500 0.000
0.500 0.500 0.500
```

* SG: No. 221
* N(E_F): 3.77 states/eV per cell
* V: 150 Å³/f.u.

---

On energetic grounds, *a* is preferred over the next structure by 329 meV/atom.

---

*a*
Density functional theory data (GGA-PBE) for a relaxed NbBiS3 crystal.

```
NbBiS3
1.0
5.121 0.000 0.000
0.000 5.121 0.000
0.000 0.000 5.121
Nb Bi S
1 1 3
Direct
0.000 0.000 0.000
0.500 0.500 0.500
0.000 0.500 0.500
0.500 0.000 0.500
0.500 0.500 0.000
```

* SG: No. 221
* N(E_F): 4.74 states/eV per cell
* V: 134 Å³/f.u.

---

*b*
Density functional theory data (GGA-PBE) for a relaxed NbBiS3 crystal.

```
NbBiS3
1.0
7.268 -2.040 0.000
7.268 2.040 0.000
-3.154 0.000 8.804
Nb Bi S
2 2 6
Direct
0.173 0.173 0.386
0.827 0.827 0.614
0.414 0.414 0.066
0.586 0.586 0.934
0.014 0.014 0.735
0.196 0.196 0.155
0.357 0.357 0.502
0.643 0.643 0.498
0.804 0.804 0.845
0.986 0.986 0.265
```

* SG: No. 12
* N(E_F): 1.88 states/eV per cell
* V: 131 Å³/f.u.

---

*c*
Density functional theory data (GGA-PBE) for a relaxed NbBiS3 crystal.

```
NbBiS3
1.0
4.824 0.000 0.000
0.000 4.824 0.000
0.000 0.000 4.824
Nb Bi S
1 1 3
Direct
0.000 0.000 0.000
0.500 0.500 0.500
0.000 0.000 0.500
0.000 0.500 0.000
0.500 0.000 0.000
```

* SG: No. 221
* N(E_F): 4.29 states/eV per cell
* V: 112 Å³/f.u.

---

On energetic grounds, *b* is preferred over the next structure by 338 meV/atom.

---

*a*
Density functional theory data (GGA-PBE) for a relaxed Nb3BiS crystal.

```
Nb3BiS
1.0
4.654 0.000 0.000
0.000 4.654 0.000
0.000 0.000 4.654
Nb Bi S
3 1 1
Direct
0.000 0.000 0.500
0.000 0.500 0.000
0.500 0.000 0.000
0.500 0.500 0.500
0.000 0.000 0.000
```

* SG: No. 221
* N(E_F): 3.07 states/eV per cell
* V: 101 Å³/f.u.

---

*b*
Density functional theory data (GGA-PBE) for a relaxed Nb3BiS crystal.

```
Nb3BiS
1.0
5.201 0.000 0.000
0.000 5.201 0.000
0.000 0.000 5.201
Nb Bi S
3 1 1
Direct
0.000 0.000 0.500
0.000 0.500 0.000
0.500 0.000 0.000
0.000 0.000 0.000
0.500 0.500 0.500
```

* SG: No. 221
* N(E_F): 7.56 states/eV per cell
* V: 141 Å³/f.u.

---

On energetic grounds, *a* is preferred over the next structure by 2024 meV/atom.

---

*a*
Density functional theory data (GGA-PBE) for a relaxed NbBi3Sb crystal.

```
NbBi3Sb
1.0
5.695 0.000 0.000
0.000 5.695 0.000
0.000 0.000 5.695
Nb Bi Sb
1 3 1
Direct
0.000 0.000 0.000
0.000 0.500 0.500
0.500 0.000 0.500
0.500 0.500 0.000
0.500 0.500 0.500
```

* SG: No. 221
* N(E_F): 9.89 states/eV per cell
* V: 185 Å³/f.u.

---

*b*
Density functional theory data (GGA-PBE) for a relaxed NbBi3Sb crystal.

```
NbBi3Sb
1.0
5.507 0.000 0.000
0.000 5.507 0.000
0.000 0.000 5.507
Nb Bi Sb
1 3 1
Direct
0.000 0.000 0.000
0.000 0.000 0.500
0.000 0.500 0.000
0.500 0.000 0.000
0.500 0.500 0.500
```

* SG: No. 221
* N(E_F): 4.16 states/eV per cell
* V: 167 Å³/f.u.

---

On energetic grounds, *b* is preferred over the next structure by 951 meV/atom.

---

*a*
Density functional theory data (GGA-PBE) for a relaxed Sc3NbBi crystal.

```
Sc3NbBi
1.0
5.367 0.000 0.000
0.000 5.367 0.000
0.000 0.000 5.367
Sc Nb Bi
3 1 1
Direct
0.000 0.000 0.500
0.000 0.500 0.000
0.500 0.000 0.000
0.500 0.500 0.500
0.000 0.000 0.000
```

* SG: No. 221
* N(E_F): 11.57 states/eV per cell
* V: 155 Å³/f.u.

---

*b*
Density functional theory data (GGA-PBE) for a relaxed Sc3NbBi crystal.

```
Sc3NbBi
1.0
5.128 0.000 0.000
0.000 5.128 0.000
0.000 0.000 5.128
Sc Nb Bi
3 1 1
Direct
0.000 0.000 0.500
0.000 0.500 0.000
0.500 0.000 0.000
0.000 0.000 0.000
0.500 0.500 0.500
```

* SG: No. 221
* N(E_F): 4.69 states/eV per cell
* V: 135 Å³/f.u.

---

On energetic grounds, *b* is preferred over the next structure by 525 meV/atom.

---

*a*
Density functional theory data (GGA-PBE) for a relaxed Nb3BiSe crystal.

```
Nb3BiSe
1.0
4.811 0.000 0.000
0.000 4.811 0.000
0.000 0.000 4.811
Nb Bi Se
3 1 1
Direct
0.000 0.000 0.500
0.000 0.500 0.000
0.500 0.000 0.000
0.500 0.500 0.500
0.000 0.000 0.000
```

* SG: No. 221
* N(E_F): 3.60 states/eV per cell
* V: 111 Å³/f.u.

---

*b*
Density functional theory data (GGA-PBE) for a relaxed Nb3BiSe crystal.

```
Nb3BiSe
1.0
5.195 0.000 0.000
0.000 5.195 0.000
0.000 0.000 5.195
Nb Bi Se
3 1 1
Direct
0.000 0.000 0.500
0.000 0.500 0.000
0.500 0.000 0.000
0.000 0.000 0.000
0.500 0.500 0.500
```

* SG: No. 221
* N(E_F): 11.28 states/eV per cell
* V: 140 Å³/f.u.

---

On energetic grounds, *a* is preferred over the next structure by 1380 meV/atom.

---

*a*
Density functional theory data (GGA-PBE) for a relaxed Nb4BiSe8 crystal.

```
Nb4BiSe8
1.0
0.000 5.416 5.416
5.416 0.000 5.416
5.416 5.416 0.000
Nb Bi Se
4 1 8
Direct
0.398 0.398 0.398
0.398 0.398 0.805
0.398 0.805 0.398
0.805 0.398 0.398
0.000 0.000 0.000
0.106 0.631 0.631
0.146 0.146 0.146
0.146 0.146 0.562
0.146 0.562 0.146
0.562 0.146 0.146
0.631 0.106 0.631
0.631 0.631 0.106
0.631 0.631 0.631
```

* SG: No. 216
* N(E_F): 9.16 states/eV per cell
* V: 318 Å³/f.u.

---

*b*
Density functional theory data (GGA-PBE) for a relaxed Nb4BiSe8 crystal.

```
Nb4BiSe8
1.0
3.471 2.004 7.982
-3.471 2.004 7.982
0.000 -4.008 7.982
Nb Bi Se
4 1 8
Direct
0.000 0.000 0.000
0.000 0.500 0.500
0.500 0.000 0.500
0.500 0.500 0.000
0.500 0.500 0.500
0.240 0.240 0.735
0.240 0.735 0.240
0.263 0.263 0.263
0.265 0.760 0.760
0.735 0.240 0.240
0.737 0.737 0.737
0.760 0.265 0.760
0.760 0.760 0.265
```

* SG: No. 166
* N(E_F): 8.90 states/eV per cell
* V: 333 Å³/f.u.

---

On energetic grounds, *a* is preferred over the next structure by 30 meV/atom.